6
Lattice="-0.4069 -2.5919 2.5619 2.3739 -2.1444 -1.7925 8.6198 4.5500 5.9723" Properties=species:S:1:pos:R:3 comment="PrSc2Tl3 (PBE-GGA, optimized geometry)" final_energy_ev_per_cell=-26.4 m_tot_mub_per_cell=0.00 crystal_system=tetragonal n_ef_per_ev_fu=3.97 pbc="T T T"
Pr 5.2934 -0.0932 3.3709
Sc 8.2765 1.4815 5.4377
Sc 2.3103 -1.6678 1.3040
Tl 0.0000 0.0000 0.0000
Tl 5.9597 3.1458 4.1293
Tl 2.6601 1.4041 1.8431

12
Lattice="6.5067 0.0000 0.0000 0.0000 6.4771 0.0000 -3.2533 -3.2385 6.9138" Properties=species:S:1:pos:R:3 comment="LiPm2Sn2Ru (PBE-GGA, optimized geometry)" final_energy_ev_per_cell=-63.8 m_tot_mub_per_cell=0.00 crystal_system=orthorhombic n_ef_per_ev_fu=4.73 pbc="T T T"
Li 3.2533 4.8578 0.0000
Li 3.2533 1.6193 0.0000
Pm 1.4743 0.0000 2.0946
Pm 1.7791 3.2386 4.8192
Pm -1.7791 0.0000 4.8192
Pm 5.0324 3.2385 2.0946
Sn 4.8296 0.0000 1.4825
Sn 1.6771 3.2385 1.4825
Sn 1.5762 0.0000 5.4313
Sn -1.5762 3.2385 5.4313
Ru 0.0000 4.8578 0.0000
Ru 0.0000 1.6193 0.0000

5
Lattice="-3.4108 -2.7750 1.5041 1.4135 -3.3229 -2.9252 2.5027 -1.4982 2.9113" Properties=species:S:1:pos:R:3 comment="SiTeOF2 (PBE-GGA, optimized geometry)" de_polymorph_mev_per_atom=622.0 m_tot_mub_per_cell=0.87 crystal_system=tetragonal n_ef_per_ev_fu=2.63 e_form_raw_mev_per_atom=-424 pbc="T T T"
Si 0.2527 -3.7980 0.7451
Te 0.0000 0.0000 0.0000
O 1.2514 -0.7491 1.4556
F 0.7067 -1.6614 -1.4626
F -1.7054 -1.3875 0.7520

4
Lattice="5.2486 0.0287 0.0597 0.9782 5.1567 -0.0597 -2.6793 -3.1140 3.2675" Properties=species:S:1:pos:R:3 comment="Tl2CuSi (PBE-GGA, optimized geometry)" de_polymorph_mev_per_atom=388.5 m_tot_mub_per_cell=0.00 crystal_system=orthorhombic n_ef_per_ev_fu=2.29 e_form_raw_mev_per_atom=543 pbc="T T T"
Cu 2.8413 -0.2463 1.6636
Si 0.7062 2.3177 1.6039
Tl 6.1518 5.1229 0.0000
Tl 3.1884 2.6551 0.0000

> Which formula does entry 4 have?

Tl2CuSi